(a)
Density functional theory data (GGA-PBE) for a relaxed La2DyEr2 crystal.

Results
- Symmetry: No. 15

a = 6.381 Å, b = 8.568 Å, c = 6.834 Å
α = 102.83°, β = 90.00°, γ = 111.86°
Atoms (fractional coordinates):
La (0.614, 0.399, 0.651)
La (0.215, 0.601, 0.849)
La (0.386, 0.601, 0.349)
La (0.785, 0.399, 0.151)
Dy (0.584, 0.000, 0.750)
Dy (0.416, 0.000, 0.250)
Er (0.823, 0.809, 0.050)
Er (0.014, 0.191, 0.450)
Er (0.177, 0.191, 0.950)
Er (0.986, 0.809, 0.550)


(b)
Density functional theory data (GGA-PBE) for a relaxed La2DyEr2 crystal.

Results
- Symmetry: No. 15

a = 8.903 Å, b = 6.533 Å, c = 6.533 Å
α = 95.26°, β = 105.34°, γ = 105.34°
Atoms (fractional coordinates):
La (0.140, 0.248, 0.073)
La (0.860, 0.752, 0.927)
La (0.360, 0.927, 0.752)
La (0.640, 0.073, 0.248)
Dy (0.250, 0.792, 0.208)
Dy (0.750, 0.208, 0.792)
Er (0.000, 0.500, 0.500)
Er (0.000, 0.000, 0.500)
Er (0.500, 0.500, 0.500)
Er (0.500, 0.500, 0.000)


The structure with the most favorable energy is (a); the runner-up is 215 meV per atom above it.